# 1
VASP calculation (PBE) on a relaxed structure of SrMg4Cr.

Properties
* mass density: 2.6 g/cm³
* energy of formation: 221 meV/atom

Lattice parameters (Å, degrees): 6.016 6.016 6.016 60.00 60.00 60.00
Positions (direct):
Sr 0.000 0.000 0.000
Mg 0.376 0.376 0.376
Mg 0.376 0.376 0.872
Mg 0.376 0.872 0.376
Mg 0.872 0.376 0.376
Cr 0.750 0.750 0.750

---

# 2
VASP calculation (PBE) on a relaxed structure of TbNpSe2O.

Properties
* formation energy from raw total energies: -2.102 eV per atom
* mass density: 8.3 g/cm³

Lattice parameters (Å, degrees): 3.987 3.987 14.326 90.00 90.00 90.00
Positions (direct):
Tb 0.250 0.250 0.122
Tb 0.750 0.750 0.878
Np 0.250 0.250 0.583
Np 0.750 0.750 0.417
Se 0.250 0.250 0.313
Se 0.250 0.250 0.908
Se 0.750 0.750 0.092
Se 0.750 0.750 0.687
O 0.250 0.750 0.500
O 0.750 0.250 0.500

---

# 3
VASP calculation (PBE) on a relaxed structure of CeTmOs.

Properties
* polymorph energy (0 for the lowest one): 0.25 eV/f.u.
* mass density: 11.4 g/cm³
* energy of formation: -108 meV/atom

Lattice parameters (Å, degrees): 4.904 4.003 7.408 90.00 91.77 90.00
Positions (direct):
Ce 0.226 0.250 0.480
Ce 0.774 0.750 0.520
Tm 0.262 0.750 0.875
Tm 0.738 0.250 0.125
Os 0.343 0.750 0.254
Os 0.657 0.250 0.746

---

# 4
VASP calculation (PBE) on a relaxed structure of LiCe2Hg3.

Properties
* polymorph energy (0 for the lowest one): 0.00 eV/f.u.
* mass density: 9.7 g/cm³
* energy of formation: -203 meV/atom

Lattice parameters (Å, degrees): 9.424 9.424 9.424 158.95 149.47 37.38
Positions (direct):
Li 0.000 0.000 0.000
Ce 0.319 0.819 0.500
Ce 0.572 0.572 0.000
Hg 0.146 0.146 0.000
Hg 0.733 0.233 0.500
Hg 0.898 0.398 0.500

---

# 5
VASP calculation (PBE) on a relaxed structure of Pm2RhAu.

Properties
* mass density: 9.3 g/cm³
* energy of formation: -692 meV/atom

Lattice parameters (Å, degrees): 7.616 7.616 7.616 31.25 31.25 31.25
Positions (direct):
Pm 0.000 0.000 0.000
Pm 0.187 0.187 0.187
Rh 0.592 0.592 0.592
Au 0.428 0.428 0.428

---

# 6
VASP calculation (PBE) on a relaxed structure of CsVSb3.

Properties
* polymorph energy (0 for the lowest one): 9.52 eV/f.u.
* formation energy from raw total energies: 1.946 eV per atom
* mass density: 4.1 g/cm³

Lattice parameters (Å, degrees): 6.063 6.063 6.063 90.00 90.00 90.00
Positions (direct):
Cs 0.000 0.000 0.000
V 0.500 0.500 0.500
Sb 0.000 0.000 0.500
Sb 0.000 0.500 0.000
Sb 0.500 0.000 0.000

---

no.,N(E_F) (states/eV/atom)
1,0.49
2,1.15
3,1.22
4,2.26
5,0.51
6,1.69